[1]
# NbGe3F | Alexandria via LeMat-Bulk | GGA-PBE | relaxed
data_NbGe3F
_chemical_formula_sum 'Nb1 Ge3 F1'
_cell_length_a 4.4218
_cell_length_b 4.4218
_cell_length_c 4.4218
_cell_angle_alpha 90.00
_cell_angle_beta 90.00
_cell_angle_gamma 90.00
_symmetry_space_group_name_H-M 'P m -3 m'
_symmetry_Int_Tables_number 221
_symmetry_space_group_name_Hall '-P 4 2 3'
loop_
_atom_site_label
_atom_site_type_symbol
_atom_site_fract_x
_atom_site_fract_y
_atom_site_fract_z
Nb1 Nb 0.0000 0.0000 0.0000
Ge1 Ge 0.0000 0.5000 0.5000
F1 F 0.5000 0.5000 0.5000
# - energy relative to the elements, uncorrected (kJ per mole of atoms) = 9.8
# - energy relative to the lowest polymorph listed for this composition (kJ/mol of atoms) = 0.0

[2]
# EuGe2Ir2 | Alexandria via LeMat-Bulk | GGA-PBE | relaxed
data_EuGe2Ir2
_chemical_formula_sum 'Eu2 Ge4 Ir4'
_cell_length_a 4.2016
_cell_length_b 4.2016
_cell_length_c 10.6406
_cell_angle_alpha 90.00
_cell_angle_beta 90.00
_cell_angle_gamma 90.00
_symmetry_space_group_name_H-M 'I 4/m m m'
_symmetry_Int_Tables_number 139
_symmetry_space_group_name_Hall '-I 4 2'
loop_
_atom_site_label
_atom_site_type_symbol
_atom_site_fract_x
_atom_site_fract_y
_atom_site_fract_z
Eu1 Eu 0.0000 0.0000 0.0000
Ge1 Ge 0.0000 0.0000 0.3740
Ir1 Ir 0.0000 0.5000 0.2500
# - formation energy from the elements (eV/f.u.) = -3.5

[3]
# CePmErPa | Alexandria via LeMat-Bulk | GGA-PBE | relaxed
data_CePmErPa
_chemical_formula_sum 'Ce4 Pm4 Er4 Pa4'
_cell_length_a 7.8416
_cell_length_b 7.8416
_cell_length_c 7.8416
_cell_angle_alpha 90.00
_cell_angle_beta 90.00
_cell_angle_gamma 90.00
_symmetry_space_group_name_H-M 'F -4 3 m'
_symmetry_Int_Tables_number 216
_symmetry_space_group_name_Hall 'F -4 2 3'
loop_
_atom_site_label
_atom_site_type_symbol
_atom_site_fract_x
_atom_site_fract_y
_atom_site_fract_z
Ce1 Ce 0.0000 0.0000 0.0000
Pm1 Pm 0.0000 0.0000 0.5000
Er1 Er 0.2500 0.2500 0.7500
Pa1 Pa 0.2500 0.2500 0.2500
# - formation energy from the elements (eV/f.u.) = 1.5

[4]
# SrSn2S4 | Alexandria via LeMat-Bulk | GGA-PBE | relaxed
data_SrSn2S4
_chemical_formula_sum 'Sr4 Sn8 S16'
_cell_length_a 3.9963
_cell_length_b 12.7560
_cell_length_c 13.4605
_cell_angle_alpha 90.00
_cell_angle_beta 90.00
_cell_angle_gamma 90.00
_symmetry_space_group_name_H-M 'C m c m'
_symmetry_Int_Tables_number 63
_symmetry_space_group_name_Hall '-C 2c 2'
loop_
_atom_site_label
_atom_site_type_symbol
_atom_site_fract_x
_atom_site_fract_y
_atom_site_fract_z
Sr1 Sr 0.0000 0.1093 0.2500
Sn1 Sn 0.0000 0.3684 0.0670
S1 S 0.0000 0.0000 0.0000
S2 S 0.0000 0.2708 0.6111
S3 S 0.0000 0.4387 0.2500
# - energy relative to the elements, uncorrected (kJ per mole of atoms) = -82.9
# - energy relative to the lowest polymorph listed for this composition (kJ/mol of atoms) = 3.7

[5]
# Ho2BeAg | Alexandria via LeMat-Bulk | GGA-PBE | relaxed
data_Ho2BeAg
_chemical_formula_sum 'Ho8 Be4 Ag4'
_cell_length_a 7.0540
_cell_length_b 7.0540
_cell_length_c 7.0540
_cell_angle_alpha 90.00
_cell_angle_beta 90.00
_cell_angle_gamma 90.00
_symmetry_space_group_name_H-M 'F m -3 m'
_symmetry_Int_Tables_number 225
_symmetry_space_group_name_Hall '-F 4 2 3'
loop_
_atom_site_label
_atom_site_type_symbol
_atom_site_fract_x
_atom_site_fract_y
_atom_site_fract_z
Ho1 Ho 0.2500 0.2500 0.2500
Be1 Be 0.0000 0.0000 0.0000
Ag1 Ag 0.0000 0.0000 0.5000
# - formation energy from the elements (eV/f.u.) = -0.3
# - energy relative to the lowest polymorph listed for this composition (kJ/mol of atoms) = 4.8

[6]
# Ta2MnNi | Alexandria via LeMat-Bulk | GGA-PBE | relaxed
data_Ta2MnNi
_chemical_formula_sum 'Ta2 Mn1 Ni1'
_cell_length_a 2.8384
_cell_length_b 2.8384
_cell_length_c 7.4351
_cell_angle_alpha 90.00
_cell_angle_beta 90.00
_cell_angle_gamma 90.00
_symmetry_space_group_name_H-M 'P 4/m m m'
_symmetry_Int_Tables_number 123
_symmetry_space_group_name_Hall '-P 4 2'
loop_
_atom_site_label
_atom_site_type_symbol
_atom_site_fract_x
_atom_site_fract_y
_atom_site_fract_z
Ta1 Ta 0.0000 0.0000 0.2462
Mn1 Mn 0.5000 0.5000 0.5000
Ni1 Ni 0.5000 0.5000 0.0000
# - formation energy from the elements (eV/f.u.) = -0.1
# - energy relative to the lowest polymorph listed for this composition (kJ/mol of atoms) = 11.3

DOS(E_F) for every record listed, in sequence, given in states/eV per cell: 4.60; 14.50; 51.68; 8.04; 13.47; 3.96.